Entry 1:
First-principles (PBE) data for Pr2CdGaO5 after structural relaxation, as listed in the Alexandria database.

abc: 6.9064 6.9064 5.7648
angles: 90.00 90.00 90.00
Last column: nearest neighbours and their distance in Å.
Fractional positions:
Pr1 0.1787 0.3213 0.0000  8 O 2.37-2.62
Pr2 0.3213 0.8213 0.0000  8 O 2.37-2.62
Pr3 0.6787 0.1787 0.0000  8 O 2.37-2.62
Pr4 0.8213 0.6787 0.0000  8 O 2.37-2.62
Cd1 0.0000 0.0000 0.5000  10 O 2.88-3.04
Cd2 0.5000 0.5000 0.5000  10 O 2.88-3.04
Ga1 0.0000 0.5000 0.5000  4 O 1.90
Ga2 0.5000 0.0000 0.5000  4 O 1.90
O1 0.0000 0.0000 0.0000  4 Pr 2.54
O2 0.1315 0.6315 0.2567  1 Ga 1.90
O3 0.1315 0.6315 0.7433  1 Ga 1.90
O4 0.3685 0.1315 0.2567  1 Ga 1.90
O5 0.3685 0.1315 0.7433  1 Ga 1.90
O6 0.5000 0.5000 0.0000  4 Pr 2.54
O7 0.6315 0.8685 0.2567  1 Ga 1.90
O8 0.6315 0.8685 0.7433  1 Ga 1.90
O9 0.8685 0.3685 0.2567  1 Ga 1.90
O10 0.8685 0.3685 0.7433  1 Ga 1.90

Properties
As for the space group: P4/mbm. As for the uncorrected formation energy: -2178.4 meV/atom.

Entry 2:
First-principles (PBE) data for CdGaPtO4 after structural relaxation, as listed in the Alexandria database.

abc: 6.2874 6.2874 6.2874
angles: 120.83 115.41 93.35
Last column: nearest neighbours and their distance in Å.
Fractional positions:
Cd1 0.3879 0.1379 0.2500  4 O 2.23-2.26
Cd2 0.6121 0.8621 0.7500  4 O 2.23-2.26
Ga1 0.0000 0.0000 0.5000  6 O 2.02-2.07
Ga2 0.0000 0.5000 0.0000  6 O 2.02-2.07
Pt1 0.0000 0.5000 0.5000  6 O 2.08-2.15
Pt2 0.5000 0.5000 0.0000  6 O 2.08-2.15
O1 0.1924 0.7387 0.4537  2 Ga 2.07, 1 Pt 2.08, 1 Cd 2.26
O2 0.2150 0.2613 0.9537  2 Ga 2.07, 1 Pt 2.08, 1 Cd 2.26
O3 0.2321 0.2685 0.5363  1 Ga 2.02, 2 Pt 2.15, 1 Cd 2.23
O4 0.2321 0.6958 0.9637  1 Ga 2.02, 2 Pt 2.15, 1 Cd 2.23
O5 0.7679 0.3042 0.0363  1 Ga 2.02, 2 Pt 2.15, 1 Cd 2.23
O6 0.7679 0.7315 0.4637  1 Ga 2.02, 2 Pt 2.15, 1 Cd 2.23
O7 0.7850 0.7387 0.0463  2 Ga 2.07, 1 Pt 2.08, 1 Cd 2.26
O8 0.8076 0.2613 0.5463  2 Ga 2.07, 1 Pt 2.08, 1 Cd 2.26

Properties
As for the space group: Imma. As for the uncorrected formation energy: -1032.6 meV/atom.

| no. | uncorrected energy (Ry/atom) |
| --- | --- |
| 1 | -0.4728 |
| 2 | -0.3889 |